## i
Density functional theory data (PBE) for an optimized crystal structure of MgCoOs.

Computed properties:
V, Å³/f.u.: 42.7
Crystal system: orthorhombic

Cell: 2.764 14.084 4.386 Å, 90.00 90.00 90.00°
Space group Cmcm (No. 63)
Unique sites:
Mg: 0.000 0.060 0.250
Co: 0.000 0.380 0.250
Os: 0.000 0.270 0.750

## ii
Density functional theory data (PBE) for an optimized crystal structure of MgCoOs.

Computed properties:
V, Å³/f.u.: 42.7
Crystal system: orthorhombic

Cell: 2.928 4.470 13.063 Å, 90.00 90.00 90.00°
Space group Fmm2 (No. 42)
Unique sites:
Mg: 0.000 0.000 0.000
Co: 0.000 0.000 0.667
Os: 0.000 0.000 0.321

Unit: eV/atom. Relative energies: i 0.000; ii 0.180.

## i
Density functional theory data (PBE) for an optimized crystal structure of MgCoOs.

Computed properties:
V, Å³/f.u.: 42.5
Crystal system: trigonal

Cell: 2.7375 2.7375 6.5535 Å, 90.00 90.00 120.00°
Space group P3m1 (No. 156)
Unique sites:
Mg: 0.0000 0.0000 0.0000
Co: 0.6667 0.3333 0.6621
Os: 0.3333 0.6667 0.3640

## ii
Density functional theory data (PBE) for an optimized crystal structure of MgCoOs.

Computed properties:
V, Å³/f.u.: 46.3
Crystal system: cubic

Cell: 5.699 5.699 5.699 Å, 90.00 90.00 90.00°
Space group F-43m (No. 216)
Unique sites:
Mg: 0.000 0.000 0.000
Co: 0.250 0.250 0.250
Os: 0.000 0.000 0.500

Unit: eV/atom. Relative energies: i 0.000; ii 0.270.

## i
Density functional theory data (PBE) for an optimized crystal structure of MgCo2Os2.

Computed properties:
V, Å³/f.u.: 74.7
Crystal system: tetragonal

Cell: 3.810 3.810 10.293 Å, 90.00 90.00 90.00°
Space group I4/mmm (No. 139)
Unique sites:
Mg: 0.000 0.000 0.000
Co: 0.000 0.000 0.397
Os: 0.000 0.500 0.250

## ii
Density functional theory data (PBE) for an optimized crystal structure of MgCo2Os2.

Computed properties:
V, Å³/f.u.: 70.2
Crystal system: tetragonal

Cell: 7.294 7.294 2.641 Å, 90.00 90.00 90.00°
Space group P4/mbm (No. 127)
Unique sites:
Mg: 0.000 0.000 0.000
Co: 0.170 0.330 0.500
Os: 0.125 0.625 0.000

Unit: eV/atom. Relative energies: i 0.108; ii 0.000.

## i
Density functional theory data (PBE) for an optimized crystal structure of Mg3CoP.

Computed properties:
V, Å³/f.u.: 104.0
Crystal system: cubic

Cell: 4.702 4.702 4.702 Å, 90.00 90.00 90.00°
Space group Pm-3m (No. 221)
Unique sites:
Mg: 0.000 0.000 0.500
Co: 0.000 0.000 0.000
P: 0.500 0.500 0.500

## ii
Density functional theory data (PBE) for an optimized crystal structure of Mg3CoP.

Computed properties:
V, Å³/f.u.: 112.0
Crystal system: cubic

Cell: 4.821 4.821 4.821 Å, 90.00 90.00 90.00°
Space group Pm-3m (No. 221)
Unique sites:
Mg: 0.000 0.000 0.500
Co: 0.500 0.500 0.500
P: 0.000 0.000 0.000

Unit: eV/atom. Relative energies: i 0.088; ii 0.000.